one.
A geometry-optimized YTmCdNi structure. Source: the Alexandria database, functional PBE.

Geometry as CIF:
```
data_YTmCdNi
_space_group_name_H-M_alt 'P 1'
_space_group_IT_number 1
_cell_length_a 3.436
_cell_length_b 3.436
_cell_length_c 7.574
_cell_angle_alpha 90.00
_cell_angle_beta 90.00
_cell_angle_gamma 90.00
loop_
_space_group_symop_operation_xyz
'x,y,z'
loop_
_atom_site_label
_atom_site_fract_x
_atom_site_fract_y
_atom_site_fract_z
Y1 0.500 0.500 0.785
Tm1 0.500 0.500 0.360
Cd1 0.000 0.000 0.079
Ni1 0.000 0.000 0.561
```

The density of states at the Fermi level is 2.30 states/eV/cell.


two.
A geometry-optimized YTmCdNi structure. Source: the Alexandria database, functional PBE.

Geometry as CIF:
```
data_YTmCdNi
_space_group_name_H-M_alt 'P 1'
_space_group_IT_number 1
_cell_length_a 5.027
_cell_length_b 5.027
_cell_length_c 5.027
_cell_angle_alpha 60.00
_cell_angle_beta 60.00
_cell_angle_gamma 60.00
loop_
_space_group_symop_operation_xyz
'x,y,z'
loop_
_atom_site_label
_atom_site_fract_x
_atom_site_fract_y
_atom_site_fract_z
Y1 0.750 0.750 0.750
Ni1 0.000 0.000 0.000
Tm1 0.250 0.250 0.250
Cd1 0.500 0.500 0.500
```

The density of states at the Fermi level is 2.90 states/eV/cell.


Stability check: which of them is least stable? two.


one.
A geometry-optimized Cd2NiW structure. Source: the Alexandria database, functional PBE.

Geometry as CIF:
```
data_Cd2NiW
_space_group_name_H-M_alt 'P 1'
_space_group_IT_number 1
_cell_length_a 9.493
_cell_length_b 9.493
_cell_length_c 9.493
_cell_angle_alpha 17.50
_cell_angle_beta 17.50
_cell_angle_gamma 17.50
loop_
_space_group_symop_operation_xyz
'x,y,z'
loop_
_atom_site_label
_atom_site_fract_x
_atom_site_fract_y
_atom_site_fract_z
Cd1 0.994 0.994 0.994
Cd2 0.506 0.506 0.506
Ni1 0.250 0.250 0.250
W1 0.750 0.750 0.750
```

The density of states at the Fermi level is 5.80 states/eV/cell.


two.
A geometry-optimized Cd2NiW structure. Source: the Alexandria database, functional PBE.

Geometry as CIF:
```
data_Cd2NiW
_space_group_name_H-M_alt 'P 1'
_space_group_IT_number 1
_cell_length_a 5.392
_cell_length_b 5.460
_cell_length_c 2.723
_cell_angle_alpha 81.15
_cell_angle_beta 78.86
_cell_angle_gamma 116.46
loop_
_space_group_symop_operation_xyz
'x,y,z'
loop_
_atom_site_label
_atom_site_fract_x
_atom_site_fract_y
_atom_site_fract_z
Cd1 0.000 0.000 0.000
Cd2 0.500 0.000 0.500
Ni1 0.000 0.500 0.500
W1 0.500 0.500 0.000
```

The density of states at the Fermi level is 3.57 states/eV/cell.


Stability check: which of them is least stable? two.


one.
A geometry-optimized Cd2NiW structure. Source: the Alexandria database, functional PBE.

Geometry as CIF:
```
data_Cd2NiW
_space_group_name_H-M_alt 'P 1'
_space_group_IT_number 1
_cell_length_a 4.942
_cell_length_b 4.942
_cell_length_c 2.816
_cell_angle_alpha 90.00
_cell_angle_beta 90.00
_cell_angle_gamma 90.00
loop_
_space_group_symop_operation_xyz
'x,y,z'
loop_
_atom_site_label
_atom_site_fract_x
_atom_site_fract_y
_atom_site_fract_z
Cd1 0.000 0.000 0.000
Cd2 0.500 0.500 0.000
Ni1 0.500 0.000 0.500
W1 0.000 0.500 0.500
```

The density of states at the Fermi level is 2.96 states/eV/cell.


two.
A geometry-optimized Cd2NiW structure. Source: the Alexandria database, functional PBE.

Geometry as CIF:
```
data_Cd2NiW
_space_group_name_H-M_alt 'P 1'
_space_group_IT_number 1
_cell_length_a 4.594
_cell_length_b 2.753
_cell_length_c 5.395
_cell_angle_alpha 79.07
_cell_angle_beta 90.00
_cell_angle_gamma 90.00
loop_
_space_group_symop_operation_xyz
'x,y,z'
loop_
_atom_site_label
_atom_site_fract_x
_atom_site_fract_y
_atom_site_fract_z
Cd1 0.000 0.081 0.010
Cd2 0.000 0.419 0.490
Ni1 0.500 0.250 0.250
W1 0.500 0.750 0.750
```

The density of states at the Fermi level is 4.30 states/eV/cell.


three.
A geometry-optimized Cd2NiW structure. Source: the Alexandria database, functional PBE.

Geometry as CIF:
```
data_Cd2NiW
_space_group_name_H-M_alt 'P 1'
_space_group_IT_number 1
_cell_length_a 4.593
_cell_length_b 4.593
_cell_length_c 4.593
_cell_angle_alpha 60.00
_cell_angle_beta 60.00
_cell_angle_gamma 60.00
loop_
_space_group_symop_operation_xyz
'x,y,z'
loop_
_atom_site_label
_atom_site_fract_x
_atom_site_fract_y
_atom_site_fract_z
Ni1 0.000 0.000 0.000
W1 0.500 0.500 0.500
Cd1 0.250 0.250 0.250
Cd2 0.750 0.750 0.750
```

The density of states at the Fermi level is 3.33 states/eV/cell.


Stability check: which of them is least stable? three.


one.
A geometry-optimized CdNiW3 structure. Source: the Alexandria database, functional PBE.

Geometry as CIF:
```
data_CdNiW3
_space_group_name_H-M_alt 'P 1'
_space_group_IT_number 1
_cell_length_a 4.517
_cell_length_b 4.517
_cell_length_c 4.517
_cell_angle_alpha 90.00
_cell_angle_beta 90.00
_cell_angle_gamma 90.00
loop_
_space_group_symop_operation_xyz
'x,y,z'
loop_
_atom_site_label
_atom_site_fract_x
_atom_site_fract_y
_atom_site_fract_z
Ni1 0.000 0.000 0.000
W1 0.000 0.500 0.000
W2 0.000 0.000 0.500
W3 0.500 0.000 0.000
Cd1 0.500 0.500 0.500
```

The density of states at the Fermi level is 5.90 states/eV/cell.


two.
A geometry-optimized CdNiW3 structure. Source: the Alexandria database, functional PBE.

Geometry as CIF:
```
data_CdNiW3
_space_group_name_H-M_alt 'P 1'
_space_group_IT_number 1
_cell_length_a 4.801
_cell_length_b 4.801
_cell_length_c 4.801
_cell_angle_alpha 90.00
_cell_angle_beta 90.00
_cell_angle_gamma 90.00
loop_
_space_group_symop_operation_xyz
'x,y,z'
loop_
_atom_site_label
_atom_site_fract_x
_atom_site_fract_y
_atom_site_fract_z
Ni1 0.500 0.500 0.500
W1 0.000 0.500 0.000
W2 0.000 0.000 0.500
W3 0.500 0.000 0.000
Cd1 0.000 0.000 0.000
```

The density of states at the Fermi level is 5.71 states/eV/cell.


Stability check: which of them is least stable? two.


one.
A geometry-optimized YCdNi3 structure. Source: the Alexandria database, functional PBE.

Geometry as CIF:
```
data_YCdNi3
_space_group_name_H-M_alt 'P 1'
_space_group_IT_number 1
_cell_length_a 4.722
_cell_length_b 4.722
_cell_length_c 4.722
_cell_angle_alpha 90.00
_cell_angle_beta 90.00
_cell_angle_gamma 90.00
loop_
_space_group_symop_operation_xyz
'x,y,z'
loop_
_atom_site_label
_atom_site_fract_x
_atom_site_fract_y
_atom_site_fract_z
Y1 0.000 0.000 0.000
Ni1 0.000 0.500 0.000
Ni2 0.000 0.000 0.500
Ni3 0.500 0.000 0.000
Cd1 0.500 0.500 0.500
```

The density of states at the Fermi level is 3.32 states/eV/cell.


two.
A geometry-optimized YCdNi3 structure. Source: the Alexandria database, functional PBE.

Geometry as CIF:
```
data_YCdNi3
_space_group_name_H-M_alt 'P 1'
_space_group_IT_number 1
_cell_length_a 4.660
_cell_length_b 4.660
_cell_length_c 4.660
_cell_angle_alpha 90.00
_cell_angle_beta 90.00
_cell_angle_gamma 90.00
loop_
_space_group_symop_operation_xyz
'x,y,z'
loop_
_atom_site_label
_atom_site_fract_x
_atom_site_fract_y
_atom_site_fract_z
Y1 0.500 0.500 0.500
Ni1 0.000 0.500 0.000
Ni2 0.000 0.000 0.500
Ni3 0.500 0.000 0.000
Cd1 0.000 0.000 0.000
```

The density of states at the Fermi level is 5.24 states/eV/cell.


Stability check: which of them is least stable? one.


one.
A geometry-optimized ZnCdNi structure. Source: the Alexandria database, functional PBE.

Geometry as CIF:
```
data_ZnCdNi
_space_group_name_H-M_alt 'P 1'
_space_group_IT_number 1
_cell_length_a 5.359
_cell_length_b 5.359
_cell_length_c 5.359
_cell_angle_alpha 146.91
_cell_angle_beta 146.87
_cell_angle_gamma 47.53
loop_
_space_group_symop_operation_xyz
'x,y,z'
loop_
_atom_site_label
_atom_site_fract_x
_atom_site_fract_y
_atom_site_fract_z
Cd1 0.993 0.993 0.000
Ni1 0.315 0.315 0.000
Zn1 0.692 0.692 0.000
```

The density of states at the Fermi level is 1.61 states/eV/cell.


two.
A geometry-optimized ZnCdNi structure. Source: the Alexandria database, functional PBE.

Geometry as CIF:
```
data_ZnCdNi
_space_group_name_H-M_alt 'P 1'
_space_group_IT_number 1
_cell_length_a 4.223
_cell_length_b 4.223
_cell_length_c 4.223
_cell_angle_alpha 60.00
_cell_angle_beta 60.00
_cell_angle_gamma 60.00
loop_
_space_group_symop_operation_xyz
'x,y,z'
loop_
_atom_site_label
_atom_site_fract_x
_atom_site_fract_y
_atom_site_fract_z
Cd1 0.500 0.500 0.500
Ni1 0.750 0.750 0.750
Zn1 0.000 0.000 0.000
```

The density of states at the Fermi level is 1.10 states/eV/cell.


Stability check: which of them is least stable? two.